Computed, not measured: a relaxed structure of WCl3O at the PBE+U level of DFT.

The value obtained for the magnetization is 8.00 μB/cell. The value obtained for the total energy is -0.1713 Ha/atom. The calculated volume comes out at 33.77 Å³ per atom.

It has space group C2/c (No. 15), with a = 13.481 Å, b = 17.361 Å, c = 6.400 Å, α = 90.00°, β = 115.62° and γ = 90.00°. The inequivalent atoms are W at (0.000, 0.059, 0.250), W at (0.000, 0.324, 0.750), Cl at (0.091, 0.396, 0.591), Cl at (0.106, 0.051, 0.011), Cl at (0.128, 0.145, 0.498) and O at (0.094, 0.265, 0.963).